Compound: KHfBeOs2
Source: the Alexandria database
Functional: PBEsol
Structure: optimized geometry

Summary:
calculated total energy: -5.394 eV per atom
energy relative to the elements: 2.620 eV/atom

Lattice parameters (Å, degrees): 4.633 4.633 3.974 90.00 90.00 90.00
Space group P4/mmm (No. 123)
Inequivalent atoms, fractional coordinates:
K  0.000  0.000  0.000 x1
Hf  0.500  0.500  0.500 x1
Be  0.000  0.000  0.500 x1
Os  0.000  0.500  0.000 x2

***

Compound: KHf2BeRh
Source: the Alexandria database
Functional: PBEsol
Structure: optimized geometry

Summary:
calculated total energy: -6.135 eV per atom
energy relative to the elements: 0.721 eV/atom

Lattice parameters (Å, degrees): 4.843 4.843 4.185 90.00 90.00 90.00
Space group P4/mmm (No. 123)
Inequivalent atoms, fractional coordinates:
K  0.000  0.000  0.000 x1
Hf  0.000  0.500  0.500 x2
Be  0.500  0.500  0.500 x1
Rh  0.500  0.500  0.000 x1

***

Compound: LiHf2ZrBe
Source: the Alexandria database
Functional: PBEsol
Structure: optimized geometry

Summary:
calculated total energy: -5.919 eV per atom
energy relative to the elements: 1.294 eV/atom

Lattice parameters (Å, degrees): 5.032 5.032 4.847 90.00 90.00 90.00
Space group P4/mmm (No. 123)
Inequivalent atoms, fractional coordinates:
Li  0.000  0.000  0.000 x1
Hf  0.000  0.500  0.500 x2
Zr  0.500  0.500  0.500 x1
Be  0.500  0.500  0.000 x1

***

Compound: HfMg2TiBe
Source: the Alexandria database
Functional: PBEsol
Structure: optimized geometry

Summary:
calculated total energy: -3.857 eV per atom
energy relative to the elements: 1.395 eV/atom

Lattice parameters (Å, degrees): 5.101 5.101 4.653 90.00 90.00 90.00
Space group P4/mmm (No. 123)
Inequivalent atoms, fractional coordinates:
Hf  0.000  0.000  0.000 x1
Mg  0.000  0.500  0.500 x2
Ti  0.000  0.000  0.500 x1
Be  0.500  0.500  0.000 x1